# 1
# RbBaSrI2 GGA-PBE optimized geometry
data_RbBaSrI2
_chemical_formula_sum 'Rb1 Ba1 Sr1 I2'
_symmetry_space_group_name_H-M 'P 4/m m m'
_symmetry_Int_Tables_number 123
_symmetry_space_group_name_Hall '-P 4 2'
_cell_length_a 6.6369
_cell_length_b 6.6369
_cell_length_c 7.6471
_cell_angle_alpha 90.00
_cell_angle_beta 90.00
_cell_angle_gamma 90.00
loop_
_atom_site_label
_atom_site_type_symbol
_atom_site_fract_x
_atom_site_fract_y
_atom_site_fract_z
_atom_site_occupancy
Rb1 Rb 0.0000 0.0000 0.0000 1
Ba1 Ba 0.0000 0.0000 0.5000 1
Sr1 Sr 0.5000 0.5000 0.5000 1
I1 I 0.0000 0.5000 0.0000 1
# Volume ... 67.37 A^3/atom
# Energy ... -1.93 eV/atom
# Uncorrected formation energy ... -0.391 eV/atom
# ρ ... 2.78 g/cm³



# 2
# Na3HgPd GGA-PBE optimized geometry
data_Na3HgPd
_chemical_formula_sum 'Na12 Hg4 Pd4'
_symmetry_space_group_name_H-M 'P 1 21/c 1'
_symmetry_Int_Tables_number 14
_cell_length_a 7.3590
_cell_length_b 6.6874
_cell_length_c 10.2425
_cell_angle_alpha 90.00
_cell_angle_beta 99.25
_cell_angle_gamma 90.00
loop_
_symmetry_equiv_pos_as_xyz
'x,y,z'
'-x,-y,-z'
'-x,y+1/2,-z+1/2'
'x,-y+1/2,z+1/2'
loop_
_atom_site_label
_atom_site_type_symbol
_atom_site_fract_x
_atom_site_fract_y
_atom_site_fract_z
_atom_site_occupancy
Na1 Na 0.1442 0.0098 0.3678 1
Na2 Na 0.2336 0.0441 0.8313 1
Na3 Na 0.2985 0.7023 0.6113 1
Hg1 Hg 0.4384 0.2048 0.6040 1
Pd1 Pd 0.0790 0.1633 0.0690 1
# Volume ... 24.88 A^3/atom
# Polymorph energy (0 for the lowest one) ... 3 meV per atom
# ΔE_f ... -14.0 kJ per mole of atoms
# Energy ... -2.04 eV/atom
# ρ ... 5.02 g/cm³



# 3
# AlCdInO4 GGA-PBE optimized geometry
data_AlCdInO4
_chemical_formula_sum 'Al4 Cd4 In4 O16'
_symmetry_space_group_name_H-M 'C m c m'
_symmetry_Int_Tables_number 63
_symmetry_space_group_name_Hall '-C 2c 2'
_cell_length_a 6.0941
_cell_length_b 9.4955
_cell_length_c 6.5392
_cell_angle_alpha 90.00
_cell_angle_beta 90.00
_cell_angle_gamma 90.00
loop_
_atom_site_label
_atom_site_type_symbol
_atom_site_fract_x
_atom_site_fract_y
_atom_site_fract_z
_atom_site_occupancy
Al1 Al 0.0000 0.1464 0.2500 1
Cd1 Cd 0.0000 0.5000 0.0000 1
In1 In 0.0000 0.1581 0.7500 1
O1 O 0.0000 0.2553 0.0307 1
O2 O 0.2224 0.0193 0.2500 1
# Volume ... 13.51 A^3/atom
# Energy ... -5.71 eV/atom
# Uncorrected formation energy ... -1.825 eV/atom
# ρ ... 5.59 g/cm³



# 4
# UCd5Pd6 GGA-PBE optimized geometry
data_UCd5Pd6
_chemical_formula_sum 'U1 Cd5 Pd6'
_symmetry_space_group_name_H-M 'P 1 2/m 1'
_symmetry_Int_Tables_number 10
_cell_length_a 4.5725
_cell_length_b 7.0182
_cell_length_c 7.1448
_cell_angle_alpha 90.00
_cell_angle_beta 106.54
_cell_angle_gamma 90.00
loop_
_symmetry_equiv_pos_as_xyz
'x,y,z'
'-x,-y,-z'
'-x,y,-z'
'x,-y,z'
loop_
_atom_site_label
_atom_site_type_symbol
_atom_site_fract_x
_atom_site_fract_y
_atom_site_fract_z
_atom_site_occupancy
U1 U 0.0000 0.0000 0.0000 1
Cd1 Cd 0.0000 0.5000 0.0000 1
Cd2 Cd 0.3316 0.0000 0.6516 1
Cd3 Cd 0.3404 0.5000 0.6698 1
Pd1 Pd 0.1569 0.2523 0.3273 1
Pd2 Pd 0.5000 0.2432 0.0000 1
# Volume ... 18.32 A^3/atom
# ΔE_f ... -33.8 kJ per mole of atoms
# Energy ... -4.27 eV/atom
# ρ ... 10.87 g/cm³



# 5
# BeAuBr2 GGA-PBE optimized geometry
data_BeAuBr2
_chemical_formula_sum 'Be4 Au4 Br8'
_symmetry_space_group_name_H-M 'F -4 3 m'
_symmetry_Int_Tables_number 216
_symmetry_space_group_name_Hall 'F -4 2 3'
_cell_length_a 6.9409
_cell_length_b 6.9409
_cell_length_c 6.9409
_cell_angle_alpha 90.00
_cell_angle_beta 90.00
_cell_angle_gamma 90.00
loop_
_atom_site_label
_atom_site_type_symbol
_atom_site_fract_x
_atom_site_fract_y
_atom_site_fract_z
_atom_site_occupancy
Be1 Be 0.0000 0.0000 0.0000 1
Au1 Au 0.2500 0.2500 0.7500 1
Br1 Br 0.0000 0.0000 0.5000 1
Br2 Br 0.2500 0.2500 0.2500 1
# Volume ... 20.90 A^3/atom
# Polymorph energy (0 for the lowest one) ... 1041 meV per atom
# Energy ... -1.82 eV/atom
# Uncorrected formation energy ... 0.767 eV/atom
# ρ ... 7.27 g/cm³



# 6
# MoSeBr2 GGA-PBE optimized geometry
data_MoSeBr2
_chemical_formula_sum 'Mo2 Se2 Br4'
_symmetry_space_group_name_H-M 'C 1 m 1'
_symmetry_Int_Tables_number 8
_cell_length_a 9.3828
_cell_length_b 3.2457
_cell_length_c 7.7156
_cell_angle_alpha 90.00
_cell_angle_beta 109.09
_cell_angle_gamma 90.00
loop_
_symmetry_equiv_pos_as_xyz
'x,y,z'
'x,-y,z'
'x+1/2,y+1/2,z'
'x+1/2,-y+1/2,z'
loop_
_atom_site_label
_atom_site_type_symbol
_atom_site_fract_x
_atom_site_fract_y
_atom_site_fract_z
_atom_site_occupancy
Mo1 Mo 0.0000 0.0000 0.0000 1
Se1 Se 0.2978 0.0000 0.0002 1
Br1 Br 0.1326 0.5000 0.2774 1
Br2 Br 0.4834 0.0000 0.7225 1
# Volume ... 27.76 A^3/atom
# Polymorph energy (0 for the lowest one) ... 65 meV per atom
# Energy ... -4.68 eV/atom
# Uncorrected formation energy ... -0.266 eV/atom
# ρ ... 5.01 g/cm³



# 7
# CaBeP2 GGA-PBE optimized geometry
data_CaBeP2
_chemical_formula_sum 'Ca4 Be4 P8'
_symmetry_space_group_name_H-M 'F -4 3 m'
_symmetry_Int_Tables_number 216
_symmetry_space_group_name_Hall 'F -4 2 3'
_cell_length_a 6.4486
_cell_length_b 6.4486
_cell_length_c 6.4486
_cell_angle_alpha 90.00
_cell_angle_beta 90.00
_cell_angle_gamma 90.00
loop_
_atom_site_label
_atom_site_type_symbol
_atom_site_fract_x
_atom_site_fract_y
_atom_site_fract_z
_atom_site_occupancy
Ca1 Ca 0.0000 0.0000 0.0000 1
Be1 Be 0.2500 0.2500 0.7500 1
P1 P 0.0000 0.0000 0.5000 1
P2 P 0.2500 0.2500 0.2500 1
# Volume ... 16.76 A^3/atom
# ΔE_f ... 32.7 kJ per mole of atoms
# Energy ... -3.80 eV/atom
# ρ ... 2.75 g/cm³



# 8
# KTlSi2 GGA-PBE optimized geometry
data_KTlSi2
_chemical_formula_sum 'K3 Tl3 Si6'
_symmetry_space_group_name_H-M 'R -3 m'
_symmetry_Int_Tables_number 166
_symmetry_space_group_name_Hall '-R 3 2"'
_cell_length_a 3.5464
_cell_length_b 3.5464
_cell_length_c 28.7098
_cell_angle_alpha 90.00
_cell_angle_beta 90.00
_cell_angle_gamma 120.00
loop_
_atom_site_label
_atom_site_type_symbol
_atom_site_fract_x
_atom_site_fract_y
_atom_site_fract_z
_atom_site_occupancy
K1 K 0.0000 0.0000 0.0000 1
Tl1 Tl 0.0000 0.0000 0.5000 1
Si1 Si 0.0000 0.0000 0.2382 1
# Volume ... 26.06 A^3/atom
# Polymorph energy (0 for the lowest one) ... 529 meV per atom
# Energy ... -2.94 eV/atom
# Uncorrected formation energy ... 0.640 eV/atom
# ρ ... 4.77 g/cm³